A PBEsol-optimized structure of ScInRe. Source: the Alexandria database, functional SCAN.

Output
Energy relative to the elements = -31 meV per atom
SG = I4mm, No. 107
Total moment = 0.00 μB per formula unit
Volume = 54.0 Å³/cell

Cell lengths 3.406, 3.406, 5.239 Å; angles 108.97, 108.97, 90.00 degrees
Atoms (fractional coordinates):
In (0.991, 0.991, 0.983)
Re (0.330, 0.330, 0.659)
Sc (0.679, 0.679, 0.358)